# 1
The following is a GGA-PBE calculation of an optimized crystal structure of Sm2As4Pd3Au, from Alexandria via LeMat-Bulk.

Values from the calculation:
space-group type = P-4m2, No. 115

The structure in extended XYZ format:
```
10
Lattice="4.4608 0.0000 0.0000 0.0000 4.4608 0.0000 0.0000 0.0000 10.0293" Properties=species:S:1:pos:R:3 pbc="T T T"
Sm 0.0000 2.2304 2.4368
Sm 2.2304 0.0000 7.5926
As 0.0000 0.0000 0.0000
As 0.0000 2.2304 6.3938
As 2.2304 0.0000 3.6355
As 2.2304 2.2304 0.0000
Pd 0.0000 2.2304 8.8270
Pd 2.2304 0.0000 1.2024
Pd 2.2304 2.2304 5.0147
Au 0.0000 0.0000 5.0147
```

=====

# 2
The following is a GGA-PBE calculation of an optimized crystal structure of Sm2As3Pd4Au, from Alexandria via LeMat-Bulk.

Values from the calculation:
space-group type = P-4m2, No. 115

The structure in extended XYZ format:
```
10
Lattice="4.2300 0.0000 0.0000 0.0000 4.2300 0.0000 0.0000 0.0000 10.9254" Properties=species:S:1:pos:R:3 pbc="T T T"
Sm 0.0000 2.1150 2.6096
Sm 2.1150 0.0000 8.3157
As 0.0000 2.1150 9.4859
As 2.1150 0.0000 1.4394
As 2.1150 2.1150 5.4627
Pd 0.0000 0.0000 0.0000
Pd 0.0000 2.1150 7.0965
Pd 2.1150 0.0000 3.8288
Pd 2.1150 2.1150 0.0000
Au 0.0000 0.0000 5.4627
```

=====

# 3
The following is a GGA-PBE calculation of an optimized crystal structure of SrAs2Pd5Au, from Alexandria via LeMat-Bulk.

Values from the calculation:
space-group type = P4/mmm, No. 123

The structure in extended XYZ format:
```
9
Lattice="4.8832 0.0000 0.0000 0.0000 4.8832 0.0000 0.0000 0.0000 7.3239" Properties=species:S:1:pos:R:3 pbc="T T T"
Sr 0.0000 0.0000 0.0000
As 2.4416 2.4416 2.4196
As 2.4416 2.4416 4.9043
Pd 0.0000 2.4416 2.1672
Pd 0.0000 2.4416 5.1567
Pd 2.4416 0.0000 2.1672
Pd 2.4416 0.0000 5.1567
Pd 2.4416 2.4416 0.0000
Au 0.0000 0.0000 3.6619
```

=====

# 4
The following is a GGA-PBE calculation of an optimized crystal structure of SrAsPd4Au2, from Alexandria via LeMat-Bulk.

Values from the calculation:
space-group type = R-3m, No. 166

The structure in extended XYZ format:
```
8
Lattice="2.3400 1.3510 7.8374 -2.3400 1.3510 7.8374 0.0000 -2.7020 7.8374" Properties=species:S:1:pos:R:3 pbc="T T T"
Sr 0.0000 0.0000 0.0000
As 0.0000 0.0000 11.7560
Pd 0.0000 0.0000 3.2062
Pd 0.0000 0.0000 9.3480
Pd 0.0000 0.0000 14.1641
Pd 0.0000 0.0000 20.3059
Au 0.0000 0.0000 6.0698
Au 0.0000 0.0000 17.4423
```

=====

# 5
The following is a GGA-PBE calculation of an optimized crystal structure of Sr2As4Pd3Au, from Alexandria via LeMat-Bulk.

Values from the calculation:
space-group type = P-4m2, No. 115

The structure in extended XYZ format:
```
10
Lattice="4.4942 0.0000 0.0000 0.0000 4.4942 0.0000 0.0000 0.0000 10.3636" Properties=species:S:1:pos:R:3 pbc="T T T"
Sr 0.0000 2.2471 2.5815
Sr 2.2471 0.0000 7.7822
As 0.0000 0.0000 0.0000
As 0.0000 2.2471 6.6305
As 2.2471 0.0000 3.7332
As 2.2471 2.2471 0.0000
Pd 0.0000 2.2471 9.1346
Pd 2.2471 0.0000 1.2291
Pd 2.2471 2.2471 5.1818
Au 0.0000 0.0000 5.1818
```

=====

# 6
The following is a GGA-PBE calculation of an optimized crystal structure of TlAsPdAu, from Alexandria via LeMat-Bulk.

Values from the calculation:
space-group type = P4/nmm, No. 129

The structure in extended XYZ format:
```
8
Lattice="4.0489 0.0000 0.0000 0.0000 4.0489 0.0000 0.0000 0.0000 11.4104" Properties=species:S:1:pos:R:3 pbc="T T T"
Tl 1.0122 1.0122 2.4006
Tl 3.0367 3.0367 9.0098
As 1.0122 1.0122 7.1870
As 3.0367 3.0367 4.2234
Pd 1.0122 3.0367 5.7052
Pd 3.0367 1.0122 5.7052
Au 1.0122 3.0367 0.0000
Au 3.0367 1.0122 0.0000
```

=====

no.,formation enthalpy at 0 K (eV/f.u.),E_tot (eV/cell)
1,-7.492,-54.38
2,-7.647,-55.08
3,-3.198,-43.42
4,-2.621,-36.28
5,-7.175,-47.99
6,-0.382,-31.74